ScAl2Pd2: optimized geometry, PBE.

a = 3.841 Å, b = 3.841 Å, c = 11.941 Å
α = 90.00°, β = 90.00°, γ = 90.00°
Space group I4/mmm (No. 139)
One atom of each set of equivalent atoms:
1 Sc 0.000 0.000 0.000 x2
2 Al 0.000 0.500 0.250 x4
3 Pd 0.000 0.000 0.388 x4

Properties
Calculated volume (Å³ per atom): 17.62
Formation energy from the elements (meV/atom): -723
E above lowest polymorph (kJ/mol of atoms): 7.26